CeTh2Cr2C4 (GGA-PBE, optimized geometry); calculated volume = 14.77 A^3/atom; space-group type = No. 12; ΔH_f (0 K) = -0.131 eV/atom; total magnetic moment = 0.0 Bohr magnetons per cell
1.0
-2.3495 1.0005 -2.3015
4.0052 -4.4491 -3.4554
-4.3086 -3.1361 3.0351
Ce Th Cr C
1 2 2 4
Cartesian
0.0000 0.0000 0.0000
-1.1114 -3.8561 -3.1091
-1.5414 -2.7287 0.3874
-2.5257 -5.6189 0.1358
-0.1272 -0.9659 -2.8575
-3.0485 -4.1891 -1.2765
0.3956 -2.3957 -1.4453
1.4886 -4.3216 -3.3983
-4.1415 -2.2632 0.6765

=====

K2InHgPt (GGA-PBE, optimized geometry); calculated volume = 39.77 A^3/atom; space-group type = No. 123; ΔH_f (0 K) = -0.138 eV/atom; total magnetic moment = 0.0 Bohr magnetons per cell
1.0
-1.1491 2.1202 5.7095
0.2799 -5.7857 2.2048
5.0817 0.5568 0.8160
K Hg Pt In
2 1 1 1
Cartesian
0.1399 -2.8928 1.1024
-0.5746 1.0601 2.8547
2.1063 -1.5544 4.3651
0.0000 0.0000 0.0000
2.5409 0.2784 0.4080

=====

Na2AgAs2 (GGA-PBE, optimized geometry); calculated volume = 22.66 A^3/atom; space-group type = No. 12; ΔH_f (0 K) = -0.297 eV/atom; total magnetic moment = 0.0 Bohr magnetons per cell; energy above the lowest structure with this stoichiometry = 0.0 meV per atom
1.0
4.5208 0.0000 0.0000
2.2604 5.5125 -0.1057
2.2604 0.6393 9.0810
Na Ag As
4 2 4
Cartesian
2.2604 1.5811 0.8900
4.5208 2.1954 6.1800
6.7812 4.5706 8.0853
4.5208 3.9564 2.7953
4.5208 0.7427 3.2113
4.5208 5.4091 5.7640
6.7812 1.3528 8.0827
2.2604 1.9631 3.9725
2.2604 4.7990 0.8925
6.7812 4.1886 5.0028